# 1
Below is a geometry-optimized Cr3TcW structure, with properties calculated at the GGA-PBE level.

offset from the most stable computed form: 0.000 eV per atom
formation energy: 1.736 eV/atom
E: -8.702 eV/atom
calculated volume: 16.4 Å³ per atom
M_tot: 0.00 μB/cell

Unit cell a=4.342 b=4.342 c=4.342 alpha=90.00 beta=90.00 gamma=90.00
Fractional positions:
Cr (0.000, 0.000, 0.500)
Cr (0.000, 0.500, 0.000)
Cr (0.500, 0.000, 0.000)
Tc (0.000, 0.000, 0.000)
W (0.500, 0.500, 0.500)


# 2
Below is a geometry-optimized Cr2TcW structure, with properties calculated at the GGA-PBE level.

offset from the most stable computed form: 0.008 eV per atom
formation energy: 0.058 eV/atom
E: -10.584 eV/atom
calculated volume: 13.6 Å³ per atom
M_tot: 0.00 μB/cell

Unit cell a=4.244 b=4.244 c=3.010 alpha=90.00 beta=90.00 gamma=90.00
Fractional positions:
Cr (0.500, 0.500, 0.000)
Cr (0.000, 0.000, 0.000)
W (0.000, 0.500, 0.500)
Tc (0.500, 0.000, 0.500)


# 3
Below is a geometry-optimized Cr2TcW3 structure, with properties calculated at the GGA-PBE level.

formation energy: 0.020 eV/atom
E: -11.392 eV/atom
calculated volume: 14.4 Å³ per atom
M_tot: 0.00 μB/cell

Unit cell a=3.060 b=3.060 c=9.226 alpha=90.00 beta=90.00 gamma=90.00
Fractional positions:
Cr (0.500, 0.500, 0.836)
Cr (0.500, 0.500, 0.164)
Tc (0.500, 0.500, 0.500)
W (0.000, 0.000, 0.323)
W (0.000, 0.000, 0.677)
W (0.000, 0.000, 0.000)


# 4
Below is a geometry-optimized Cr2TcW structure, with properties calculated at the GGA-PBE level.

offset from the most stable computed form: 0.285 eV per atom
formation energy: 0.334 eV/atom
E: -10.307 eV/atom
calculated volume: 13.9 Å³ per atom
M_tot: 0.00 μB/cell

Unit cell a=8.310 b=8.310 c=8.310 alpha=19.42 beta=19.42 gamma=19.42
Fractional positions:
Tc (0.505, 0.505, 0.505)
W (0.747, 0.747, 0.747)
Cr (0.256, 0.256, 0.256)
Cr (0.992, 0.992, 0.992)


E of number 3 (Cr2TcW3)? -11.392 eV/atom


Which value of E does entry 3 give? -11.392 eV/atom